1.
Here is LiMnHPd2 after structural relaxation from Alexandria via LeMat-Bulk. Energies are from GGA-PBE.

a b c (Å): 4.0149 4.0149 3.7434
angles (deg): 90.00 90.00 90.00
With the nearest neighbours (Å) after each atom.
Fractional positions:
1 Li 0.0000 0.0000 0.0000  2 H 1.87
2 Mn 0.5000 0.5000 0.0000  8 Pd 2.74, 4 Li 2.84
3 H 0.0000 0.0000 0.5000  2 Li 1.87, 4 Pd 2.01
4 Pd 0.0000 0.5000 0.5000  2 H 2.01
5 Pd 0.5000 0.0000 0.5000  2 H 2.01

Results
- Excess energy over the best structure of this formula in the dataset: 0.000 eV per atom
- Symmetry: P4/mmm, No. 123
- Magnetic moment: 4.8 μB per formula unit

---

2.
Here is HfMo3Pt after structural relaxation from Alexandria via LeMat-Bulk. Energies are from GGA-PBE.

a b c (Å): 4.7038 4.7038 4.7038
angles (deg): 90.00 90.00 90.00
With the nearest neighbours (Å) after each atom.
Fractional positions:
1 Hf 0.0000 0.0000 0.0000  6 Mo 2.35
2 Mo 0.0000 0.0000 0.5000  2 Hf 2.35
3 Mo 0.0000 0.5000 0.0000  2 Hf 2.35
4 Mo 0.5000 0.0000 0.0000  2 Hf 2.35
5 Pt 0.5000 0.5000 0.5000  12 Mo 3.33

Results
- Excess energy over the best structure of this formula in the dataset: 0.546 eV per atom
- Symmetry: Pm-3m, No. 221
- ΔE_f: 1.997 eV per atom
- Magnetic moment: 0.0 μB per formula unit

---

3.
Here is Hf2MnCd after structural relaxation from Alexandria via LeMat-Bulk. Energies are from GGA-PBE.

a b c (Å): 9.0558 9.0558 9.0558
angles (deg): 20.29 20.29 20.29
With the nearest neighbours (Å) after each atom.
Fractional positions:
1 Hf 0.2359 0.2359 0.2359  3 Mn 2.61
2 Hf 0.7641 0.7641 0.7641  3 Mn 2.61
3 Mn 0.5000 0.5000 0.5000  6 Hf 2.61
4 Cd 0.0000 0.0000 0.0000  6 Hf 3.18, 6 Cd 3.19

Results
- Symmetry: R-3m, No. 166
- ΔE_f: 0.086 eV per atom
- Magnetic moment: 0.2 μB per formula unit

---

4.
Here is Ho12Ir2Pd5 after structural relaxation from Alexandria via LeMat-Bulk. Energies are from GGA-PBE.

a b c (Å): 8.9608 8.9608 8.7617
angles (deg): 103.66 103.66 48.98
With the nearest neighbours (Å) after each atom.
Fractional positions:
1 Ho 0.0029 0.0029 0.2409  2 Ir 2.76, 1 Pd 2.96
2 Ho 0.0658 0.5938 0.4022  1 Ir 2.69, 3 Pd 2.86-2.99
3 Ho 0.1075 0.5927 0.9354  4 Pd 2.87-2.97
4 Ho 0.4062 0.9342 0.5978  1 Ir 2.69, 3 Pd 2.86-2.99
5 Ho 0.4073 0.8925 0.0646  4 Pd 2.87-2.97
6 Ho 0.4881 0.4881 0.6884  1 Pd 2.69, 2 Ir 2.76
7 Ho 0.5119 0.5119 0.3116  1 Pd 2.69, 2 Ir 2.76
8 Ho 0.5927 0.1075 0.9354  4 Pd 2.87-2.97
9 Ho 0.5938 0.0658 0.4022  1 Ir 2.69, 3 Pd 2.86-2.99
10 Ho 0.8925 0.4073 0.0646  4 Pd 2.87-2.97
11 Ho 0.9342 0.4062 0.5978  1 Ir 2.69, 3 Pd 2.86-2.99
12 Ho 0.9971 0.9971 0.7591  2 Ir 2.76, 1 Pd 2.96
13 Ir 0.2093 0.7907 0.5000  6 Ho 2.69-2.76
14 Ir 0.7907 0.2093 0.5000  6 Ho 2.69-2.76
15 Pd 0.1909 0.1909 0.3338  7 Ho 2.94-2.99
16 Pd 0.2027 0.2027 0.8653  6 Ho 2.86-2.94
17 Pd 0.5000 0.5000 0.0000  6 Ho 2.69-2.97
18 Pd 0.7973 0.7973 0.1347  6 Ho 2.86-2.94
19 Pd 0.8091 0.8091 0.6662  7 Ho 2.94-2.99

Results
- Symmetry: C2/m, No. 12
- ΔE_f: -0.615 eV per atom
- Magnetic moment: 0.0 μB per formula unit

---

5.
Here is B2Mo2Cl after structural relaxation from Alexandria via LeMat-Bulk. Energies are from GGA-PBE.

a b c (Å): 7.9966 7.9966 7.9966
angles (deg): 159.47 159.47 29.20
With the nearest neighbours (Å) after each atom.
Fractional positions:
1 B 0.2500 0.7500 0.5000  4 B 2.02, 4 Mo 2.25
2 B 0.7500 0.2500 0.5000  4 B 2.02, 4 Mo 2.25
3 Mo 0.1372 0.1372 0.0000  4 B 2.25
4 Mo 0.8628 0.8628 0.0000  4 B 2.25
5 Cl 0.5000 0.5000 0.0000  4 Cl 2.85, 8 Mo 2.93

Results
- Energy relative to the elements, uncorrected: 26 kJ per mole of atoms
- Excess energy over the best structure of this formula in the dataset: 0.068 eV per atom
- Symmetry: I4/mmm, No. 139
- Magnetic moment: 0.0 μB per formula unit

---

6.
Here is ZnPSN2 after structural relaxation from Alexandria via LeMat-Bulk. Energies are from GGA-PBE.

a b c (Å): 3.8145 3.8145 5.3241
angles (deg): 90.00 90.00 90.00
With the nearest neighbours (Å) after each atom.
Fractional positions:
1 Zn 0.0000 0.0000 0.0000  4 N 1.91
2 P 0.5000 0.5000 0.5000  4 S 2.70
3 S 0.0000 0.0000 0.5000  2 Zn 2.66, 4 P 2.70
4 N 0.0000 0.5000 0.0000  2 Zn 1.91
5 N 0.5000 0.0000 0.0000  2 Zn 1.91

Results
- Energy relative to the elements, uncorrected: 169 kJ per mole of atoms
- Excess energy over the best structure of this formula in the dataset: 1.195 eV per atom
- Symmetry: P4/mmm, No. 123
- Magnetic moment: 2.6 μB per formula unit

---

7.
Here is Ce2PuIn2 after structural relaxation from Alexandria via LeMat-Bulk. Energies are from GGA-PBE.

a b c (Å): 7.7723 11.0850 6.2776
angles (deg): 90.00 101.64 90.00
With the nearest neighbours (Å) after each atom.
Fractional positions:
1 Ce 0.1014 0.1013 0.1903  2 Pu 2.66-2.95
2 Ce 0.1014 0.3987 0.6903  2 Pu 2.66-2.95
3 Ce 0.3468 0.5164 0.2132  1 Pu 2.74
4 Ce 0.3468 0.9836 0.7132  1 Pu 2.74
5 Ce 0.6532 0.0164 0.2868  1 Pu 2.74
6 Ce 0.6532 0.4836 0.7868  1 Pu 2.74
7 Ce 0.8986 0.6013 0.3097  2 Pu 2.66-2.95
8 Ce 0.8986 0.8987 0.8097  2 Pu 2.66-2.95
9 Pu 0.0683 0.1380 0.5994  3 Ce 2.66-2.95
10 Pu 0.0683 0.3620 0.0994  3 Ce 2.66-2.95
11 Pu 0.9317 0.6380 0.9006  3 Ce 2.66-2.95
12 Pu 0.9317 0.8620 0.4006  3 Ce 2.66-2.95
13 In 0.2580 0.6730 0.6733  2 In 3.02-3.11, 1 Pu 3.18, 2 Ce 3.29-3.33
14 In 0.2580 0.8270 0.1733  2 In 3.02-3.11, 1 Pu 3.18, 2 Ce 3.29-3.33
15 In 0.4145 0.2428 0.9882  4 In 3.02-3.14, 1 Pu 3.20, 3 Ce 3.25-3.35
16 In 0.4145 0.2572 0.4882  4 In 3.02-3.14, 1 Pu 3.20, 3 Ce 3.25-3.35
17 In 0.5855 0.7428 0.5118  4 In 3.02-3.14, 1 Pu 3.20, 3 Ce 3.25-3.35
18 In 0.5855 0.7572 0.0118  4 In 3.02-3.14, 1 Pu 3.20, 3 Ce 3.25-3.35
19 In 0.7420 0.1730 0.8267  2 In 3.02-3.11, 1 Pu 3.18, 2 Ce 3.29-3.33
20 In 0.7420 0.3270 0.3267  2 In 3.02-3.11, 1 Pu 3.18, 2 Ce 3.29-3.33

Results
- Excess energy over the best structure of this formula in the dataset: 0.018 eV per atom
- Symmetry: P2_1/c, No. 14
- ΔE_f: -0.206 eV per atom
- Magnetic moment: 6.3 μB per formula unit

---

8.
Here is SmPaN after structural relaxation from Alexandria via LeMat-Bulk. Energies are from GGA-PBE.

a b c (Å): 3.5107 3.5107 6.0547
angles (deg): 90.00 90.00 120.00
With the nearest neighbours (Å) after each atom.
Fractional positions:
1 Sm 0.0000 0.0000 0.0000  3 N 2.58
2 Pa 0.6667 0.3333 0.5353  3 N 2.37
3 N 0.3333 0.6667 0.7375  3 Pa 2.37, 3 Sm 2.58

Results
- Energy relative to the elements, uncorrected: -76 kJ per mole of atoms
- Excess energy over the best structure of this formula in the dataset: 0.030 eV per atom
- Symmetry: P3m1, No. 156
- Magnetic moment: 0.3 μB per formula unit

---

9.
Here is Ho2PuNpN4 after structural relaxation from Alexandria via LeMat-Bulk. Energies are from GGA-PBE.

a b c (Å): 5.9679 3.4587 5.9953
angles (deg): 90.00 109.47 90.00
With the nearest neighbours (Å) after each atom.
Fractional positions:
1 Ho 0.0000 0.0000 0.0000  6 N 2.45-2.46
2 Ho 0.0000 0.5000 0.5000  6 N 2.48-2.50
3 Pu 0.5000 0.0000 0.5000  6 N 2.43-2.44
4 Np 0.5000 0.5000 0.0000  6 N 2.38-2.41
5 N 0.2579 0.0000 0.7571  2 Np 2.41, 1 Pu 2.44, 3 Ho 2.45-2.48
6 N 0.2585 0.5000 0.2468  1 Np 2.38, 2 Pu 2.43, 3 Ho 2.46-2.50
7 N 0.7415 0.5000 0.7532  1 Np 2.38, 2 Pu 2.43, 3 Ho 2.46-2.50
8 N 0.7421 0.0000 0.2429  2 Np 2.41, 1 Pu 2.44, 3 Ho 2.45-2.48

Results
- Energy relative to the elements, uncorrected: -140 kJ per mole of atoms
- Symmetry: P2/m, No. 10
- Magnetic moment: 8.0 μB per formula unit

---

10.
Here is Zr2ZnCrIr after structural relaxation from Alexandria via LeMat-Bulk. Energies are from GGA-PBE.

a b c (Å): 4.6462 4.6462 4.5236
angles (deg): 90.00 90.00 90.00
With the nearest neighbours (Å) after each atom.
Fractional positions:
1 Zr 0.0000 0.5000 0.0000  2 Cr 2.32
2 Zr 0.5000 0.0000 0.0000  2 Cr 2.32
3 Zn 0.0000 0.0000 0.5000  2 Cr 2.26
4 Cr 0.0000 0.0000 0.0000  2 Zn 2.26, 4 Zr 2.32
5 Ir 0.5000 0.5000 0.5000  8 Zr 3.24, 4 Zn 3.29

Results
- Symmetry: P4/mmm, No. 123
- ΔE_f: 0.675 eV per atom
- Magnetic moment: 0.0 μB per formula unit

---

11.
Here is ZrTl3In after structural relaxation from Alexandria via LeMat-Bulk. Energies are from GGA-PBE.

a b c (Å): 5.5416 5.5416 5.5416
angles (deg): 90.00 90.00 90.00
With the nearest neighbours (Å) after each atom.
Fractional positions:
1 Zr 0.0000 0.0000 0.0000  12 Tl 3.92
2 Tl 0.0000 0.5000 0.5000  2 In 2.77
3 Tl 0.5000 0.0000 0.5000  2 In 2.77
4 Tl 0.5000 0.5000 0.0000  2 In 2.77
5 In 0.5000 0.5000 0.5000  6 Tl 2.77

Results
- Excess energy over the best structure of this formula in the dataset: 0.468 eV per atom
- Symmetry: Pm-3m, No. 221
- ΔE_f: 0.930 eV per atom
- Magnetic moment: 0.0 μB per formula unit

---

12.
Here is CrP2Se after structural relaxation from Alexandria via LeMat-Bulk. Energies are from GGA-PBE.

a b c (Å): 7.6658 7.6658 7.6658
angles (deg): 154.85 146.22 42.58
With the nearest neighbours (Å) after each atom.
Fractional positions:
1 Cr 0.0000 0.0000 0.0000  2 Se 2.32, 2 P 2.35
2 P 0.5519 0.0519 0.5000  2 P 2.19, 2 Cr 2.35
3 P 0.6513 0.6513 0.0000  2 P 2.19
4 Se 0.8872 0.3872 0.5000  2 Cr 2.32

Results
- Energy relative to the elements, uncorrected: 9 kJ per mole of atoms
- Symmetry: Imm2, No. 44
- Magnetic moment: 2.5 μB per formula unit